# VReHg2F (PBE+U, optimized geometry)
data_VReHg2F
_cell_length_a 5.310
_cell_length_b 4.725
_cell_length_c 5.310
_cell_angle_alpha 90.00
_cell_angle_beta 90.00
_cell_angle_gamma 90.00
_symmetry_space_group_name_H-M 'P 1'
_symmetry_Int_Tables_number 1
_symmetry_space_group_name_Hall 'P 1'
loop_
_atom_site_label
_atom_site_type_symbol
_atom_site_fract_x
_atom_site_fract_y
_atom_site_fract_z
_atom_site_occupancy
Hg1 Hg 0.000 0.000 0.500 1
Hg2 Hg 0.500 0.000 0.000 1
Re1 Re 0.000 0.000 0.000 1
F1 F 0.500 0.500 0.500 1
V1 V 0.000 0.500 0.000 1
# total energy = -3.63 eV per atom
# crystal system = tetragonal